Record 1
Here is a relaxed structure of LiMgZnSi from Alexandria via LeMat-Bulk. Energies are from PBE-GGA.

Properties
Space-group type: F-43m
Energy relative to the elements, uncorrected: -0.2 eV per formula unit
Total energy: -2.61 eV/atom

Cell lengths 6.397, 6.397, 6.397 Å; angles 90.00, 90.00, 90.00 degrees
Fractional coordinates of all 16 atoms:
Li1 0.000 0.000 0.000
Li2 0.000 0.500 0.500
Li3 0.500 0.000 0.500
Li4 0.500 0.500 0.000
Mg1 0.000 0.000 0.500
Mg2 0.000 0.500 0.000
Mg3 0.500 0.000 0.000
Mg4 0.500 0.500 0.500
Zn1 0.250 0.250 0.250
Zn2 0.250 0.750 0.750
Zn3 0.750 0.250 0.750
Zn4 0.750 0.750 0.250
Si1 0.250 0.250 0.750
Si2 0.250 0.750 0.250
Si3 0.750 0.250 0.250
Si4 0.750 0.750 0.750

---

Record 2
Here is a relaxed structure of NdSmGdRu from Alexandria via LeMat-Bulk. Energies are from PBE-GGA.

Properties
Space-group type: F-43m
Total energy: -8.06 eV/atom
Energy of formation from the pure elements: 0.1555 eV per atom

Cell lengths 7.404, 7.404, 7.404 Å; angles 90.00, 90.00, 90.00 degrees
Fractional coordinates of all 16 atoms:
Nd1 0.000 0.000 0.000
Nd2 0.000 0.500 0.500
Nd3 0.500 0.000 0.500
Nd4 0.500 0.500 0.000
Sm1 0.000 0.000 0.500
Sm2 0.000 0.500 0.000
Sm3 0.500 0.000 0.000
Sm4 0.500 0.500 0.500
Gd1 0.250 0.250 0.250
Gd2 0.250 0.750 0.750
Gd3 0.750 0.250 0.750
Gd4 0.750 0.750 0.250
Ru1 0.250 0.250 0.750
Ru2 0.250 0.750 0.250
Ru3 0.750 0.250 0.250
Ru4 0.750 0.750 0.750

---

Sequential M_tot output: 0.00; 31.72 μB/cell